Record 1
# PBE LiFeP2, relaxed
# M_tot: 2.0 μB per formula unit
# ΔE_f: -11 kJ/mol of formula units
data_LiFeP2
_cell_length_a 3.480
_cell_length_b 3.480
_cell_length_c 8.106
_cell_angle_alpha 90.00
_cell_angle_beta 90.00
_cell_angle_gamma 90.00
_symmetry_space_group_name_H-M 'I -4 m 2'
_symmetry_Int_Tables_number 119
_symmetry_space_group_name_Hall 'I -4 -2'
loop_
_atom_site_label
_atom_site_fract_x
_atom_site_fract_y
_atom_site_fract_z
_atom_site_occupancy
Li1 0.000 0.000 0.000 1
Fe1 0.000 0.500 0.250 1
P1 0.000 0.000 0.500 1
P2 0.000 0.500 0.750 1

Record 2
# PBE Li2FeP, relaxed
# M_tot: 2.6 μB per formula unit
# ΔE_f: -86 kJ/mol of formula units
data_Li2FeP
_cell_length_a 3.501
_cell_length_b 3.501
_cell_length_c 3.988
_cell_angle_alpha 90.00
_cell_angle_beta 90.00
_cell_angle_gamma 90.00
_symmetry_space_group_name_H-M 'P 4/m m m'
_symmetry_Int_Tables_number 123
_symmetry_space_group_name_Hall '-P 4 2'
loop_
_atom_site_label
_atom_site_fract_x
_atom_site_fract_y
_atom_site_fract_z
_atom_site_occupancy
Li1 0.000 0.500 0.000 1
Fe1 0.000 0.000 0.500 1
P1 0.500 0.500 0.500 1

Record 3
# PBE Li2FeP, relaxed
# M_tot: 1.0 μB per formula unit
# ΔE_f: -105 kJ/mol of formula units
data_Li2FeP
_cell_length_a 7.882
_cell_length_b 2.878
_cell_length_c 4.673
_cell_angle_alpha 90.00
_cell_angle_beta 110.80
_cell_angle_gamma 90.00
_symmetry_space_group_name_H-M 'C 1 m 1'
_symmetry_Int_Tables_number 8
loop_
_symmetry_equiv_pos_as_xyz
'x,y,z'
'x,-y,z'
'x+1/2,y+1/2,z'
'x+1/2,-y+1/2,z'
loop_
_atom_site_label
_atom_site_fract_x
_atom_site_fract_y
_atom_site_fract_z
_atom_site_occupancy
Li1 0.000 0.000 0.000 1
Li2 0.226 0.000 0.808 1
Fe1 0.445 0.000 0.427 1
P1 0.228 0.500 0.389 1

Record 4
# PBE Li2FeP, relaxed
# M_tot: 0.0 μB per formula unit
# ΔE_f: -107 kJ/mol of formula units
data_Li2FeP
_cell_length_a 2.859
_cell_length_b 2.859
_cell_length_c 6.596
_cell_angle_alpha 90.00
_cell_angle_beta 90.00
_cell_angle_gamma 90.00
_symmetry_space_group_name_H-M 'P 4 m m'
_symmetry_Int_Tables_number 99
loop_
_symmetry_equiv_pos_as_xyz
'x,y,z'
'-y,x,z'
'-x,-y,z'
'y,-x,z'
'-x,y,z'
'y,x,z'
'x,-y,z'
'-y,-x,z'
loop_
_atom_site_label
_atom_site_fract_x
_atom_site_fract_y
_atom_site_fract_z
_atom_site_occupancy
Li1 0.000 0.000 0.000 1
Li2 0.500 0.500 0.342 1
Fe1 0.000 0.000 0.602 1
P1 0.500 0.500 0.749 1

Record 5
# PBE Li2FeP, relaxed
# M_tot: 1.7 μB per formula unit
# ΔE_f: -43 kJ/mol of formula units
data_Li2FeP
_cell_length_a 4.525
_cell_length_b 8.723
_cell_length_c 2.640
_cell_angle_alpha 90.00
_cell_angle_beta 112.15
_cell_angle_gamma 90.00
_symmetry_space_group_name_H-M 'C 1 2/m 1'
_symmetry_Int_Tables_number 12
loop_
_symmetry_equiv_pos_as_xyz
'x,y,z'
'-x,-y,-z'
'-x,y,-z'
'x,-y,z'
'x+1/2,y+1/2,z'
'-x+1/2,-y+1/2,-z'
'-x+1/2,y+1/2,-z'
'x+1/2,-y+1/2,z'
loop_
_atom_site_label
_atom_site_fract_x
_atom_site_fract_y
_atom_site_fract_z
_atom_site_occupancy
Li1 0.250 0.250 0.000 1
Fe1 0.000 0.000 0.500 1
P1 0.000 0.500 0.500 1

Record 6
# PBE Li2FeP, relaxed
# M_tot: 2.6 μB per formula unit
# ΔE_f: 32 kJ/mol of formula units
data_Li2FeP
_cell_length_a 2.6464
_cell_length_b 2.6464
_cell_length_c 26.0426
_cell_angle_alpha 90.00
_cell_angle_beta 90.00
_cell_angle_gamma 120.00
_symmetry_space_group_name_H-M 'R -3 m'
_symmetry_Int_Tables_number 166
_symmetry_space_group_name_Hall '-R 3 2"'
loop_
_atom_site_label
_atom_site_fract_x
_atom_site_fract_y
_atom_site_fract_z
_atom_site_occupancy
Li1 0.0000 0.0000 0.2432 1
Fe1 0.0000 0.0000 0.0000 1
P1 0.0000 0.0000 0.5000 1